First-principles (PBE-GGA) data for a relaxed NaPbSeO2 crystal, as listed in the Alexandria database.

- Uncorrected energy: -3.70 eV per atom
- Crystal system: tetragonal
- Formation energy (no corrections): -0.011 eV per atom
- DOS(E_F): 2.651 states/eV/f.u.
- Size of the total moment: 0.00 μB/atom

Lattice parameters (Å, degrees): 4.121 4.121 5.635 90.00 90.00 90.00
Space group P4/mmm (No. 123)
Symmetry-distinct sites (fractional):
Na 0.000 0.000 0.000 [1 per cell]
Pb 0.500 0.500 0.000 [1 per cell]
Se 0.500 0.500 0.500 [1 per cell]
O 0.000 0.500 0.500 [2 per cell]

First-principles (PBE-GGA) data for a relaxed Ce2MgNi9 crystal, as listed in the Alexandria database.

- Uncorrected energy: -5.74 eV per atom
- Crystal system: trigonal
- DOS(E_F): 15.524 states/eV/f.u.
- Size of the total moment: 0.00 μB/atom

Lattice parameters (Å, degrees): 4.8840 4.8840 24.5664 90.00 90.00 120.00
Space group R-3m (No. 166, hexagonal axes)
Symmetry-distinct sites (fractional):
Ce 0.0000 0.0000 0.1356 [6 per cell]
Mg 0.0000 0.0000 0.0000 [3 per cell]
Ni 0.0000 0.0000 0.3327 [6 per cell]
Ni 0.0000 0.0000 0.5000 [3 per cell]
Ni 0.9995 0.4998 0.0814 [18 per cell]

First-principles (PBE-GGA) data for a relaxed La2Tb3In crystal, as listed in the Alexandria database.

- Uncorrected energy: -4.52 eV per atom
- Crystal system: orthorhombic
- DOS(E_F): 8.251 states/eV/f.u.
- Size of the total moment: 0.00 μB/atom
- Polymorph energy (0 for the lowest one): 36 meV per atom

Lattice parameters (Å, degrees): 17.592 6.378 6.992 90.00 90.00 90.00
Space group Cmcm (No. 63)
Symmetry-distinct sites (fractional):
La 0.181 0.032 0.250 [8 per cell]
Tb 0.000 0.178 0.750 [4 per cell]
Tb 0.136 0.500 0.000 [8 per cell]
In 0.000 0.308 0.250 [4 per cell]

First-principles (PBE-GGA) data for a relaxed ZrHgS2 crystal, as listed in the Alexandria database.

- Uncorrected energy: -5.14 eV per atom
- Crystal system: tetragonal
- Formation energy (no corrections): -0.860 eV per atom
- DOS(E_F): 0.000 states/eV/f.u.
- Size of the total moment: 0.00 μB/atom

Lattice parameters (Å, degrees): 9.375 9.375 6.765 90.00 90.00 90.00
Space group I4/mcm (No. 140)
Symmetry-distinct sites (fractional):
Zr 0.000 0.500 0.250 [4 per cell]
Hg 0.000 0.000 0.250 [4 per cell]
S 0.133 0.367 0.000 [8 per cell]

First-principles (PBE-GGA) data for a relaxed CdMo3Ir crystal, as listed in the Alexandria database.

- Uncorrected energy: -7.00 eV per atom
- Crystal system: cubic
- DOS(E_F): 6.633 states/eV/f.u.
- Size of the total moment: 0.00 μB/atom
- Polymorph energy (0 for the lowest one): 0 meV per atom

Lattice parameters (Å, degrees): 4.773 4.773 4.773 90.00 90.00 90.00
Space group Pm-3m (No. 221)
Symmetry-distinct sites (fractional):
Cd 0.000 0.000 0.000 [1 per cell]
Mo 0.000 0.500 0.500 [3 per cell]
Ir 0.500 0.500 0.500 [1 per cell]

First-principles (PBE-GGA) data for a relaxed Nb8TcW2 crystal, as listed in the Alexandria database.

- Uncorrected energy: -10.48 eV per atom
- Crystal system: monoclinic
- DOS(E_F): 10.413 states/eV/f.u.
- Size of the total moment: 0.00 μB/atom

Lattice parameters (Å, degrees): 14.055 5.395 5.373 90.00 103.80 90.00
Space group C2/m (No. 12)
Symmetry-distinct sites (fractional):
Nb 0.000 0.000 0.240 [4 per cell]
Nb 0.107 0.500 0.048 [4 per cell]
Nb 0.165 0.248 0.580 [8 per cell]
Tc 0.000 0.500 0.500 [2 per cell]
W 0.194 0.000 0.064 [4 per cell]

First-principles (PBE-GGA) data for a relaxed Cs2NaTl3Bi4 crystal, as listed in the Alexandria database.

- Uncorrected energy: -2.78 eV per atom
- Crystal system: tetragonal
- DOS(E_F): 6.058 states/eV/f.u.
- Size of the total moment: 0.00 μB/atom

Lattice parameters (Å, degrees): 5.208 5.208 14.333 90.00 90.00 90.00
Space group P-4m2 (No. 115)
Symmetry-distinct sites (fractional):
Cs 0.000 0.500 0.247 [2 per cell]
Na 0.500 0.500 0.000 [1 per cell]
Tl 0.000 0.000 0.000 [1 per cell]
Tl 0.000 0.500 0.644 [2 per cell]
Bi 0.000 0.000 0.500 [1 per cell]
Bi 0.000 0.500 0.870 [2 per cell]
Bi 0.500 0.500 0.500 [1 per cell]

First-principles (PBE-GGA) data for a relaxed Tl3CdHg6 crystal, as listed in the Alexandria database.

- Uncorrected energy: -0.95 eV per atom
- Crystal system: trigonal
- DOS(E_F): 3.939 states/eV/f.u.
- Size of the total moment: 0.00 μB/atom
- Polymorph energy (0 for the lowest one): 29 meV per atom

Lattice parameters (Å, degrees): 6.0920 6.0920 8.8327 90.00 90.00 120.00
Space group P-31m (No. 162)
Symmetry-distinct sites (fractional):
Tl 0.0000 0.0000 0.0000 [1 per cell]
Tl 0.3333 0.6667 0.0000 [2 per cell]
Cd 0.0000 0.0000 0.5000 [1 per cell]
Hg 0.0000 0.4094 0.3203 [6 per cell]

First-principles (PBE-GGA) data for a relaxed Li2ThSO8 crystal, as listed in the Alexandria database.

- Uncorrected energy: -5.89 eV per atom
- Crystal system: trigonal
- Formation energy (no corrections): -1.301 eV per atom
- DOS(E_F): 6.117 states/eV/f.u.
- Size of the total moment: 0.31 μB/atom

Lattice parameters (Å, degrees): 4.9139 4.9139 6.1635 90.00 90.00 120.00
Space group P-3m1 (No. 164)
Symmetry-distinct sites (fractional):
Li 0.3333 0.6667 0.4434 [2 per cell]
Th 0.0000 0.0000 0.0000 [1 per cell]
S 0.0000 0.0000 0.5000 [1 per cell]
O 0.1552 0.3104 0.6583 [6 per cell]
O 0.3333 0.6667 0.0501 [2 per cell]

First-principles (PBE-GGA) data for a relaxed Ba6Bi2PO crystal, as listed in the Alexandria database.

- Uncorrected energy: -4.07 eV per atom
- Crystal system: tetragonal
- Formation energy (no corrections): -1.108 eV per atom
- DOS(E_F): 3.443 states/eV/f.u.
- Size of the total moment: 0.00 μB/atom

Lattice parameters (Å, degrees): 5.920 5.920 11.480 90.00 90.00 90.00
Space group P4/mmm (No. 123)
Symmetry-distinct sites (fractional):
Ba 0.000 0.000 0.231 [2 per cell]
Ba 0.000 0.500 0.000 [2 per cell]
Ba 0.000 0.500 0.500 [2 per cell]
Bi 0.500 0.500 0.233 [2 per cell]
P 0.000 0.000 0.500 [1 per cell]
O 0.000 0.000 0.000 [1 per cell]

First-principles (PBE-GGA) data for a relaxed HfZn crystal, as listed in the Alexandria database.

- Uncorrected energy: -5.33 eV per atom
- Crystal system: hexagonal
- DOS(E_F): 1.825 states/eV/f.u.
- Size of the total moment: 0.00 μB/atom

Lattice parameters (Å, degrees): 8.1199 8.1199 4.2359 90.00 90.00 120.00
Space group P6_3/m (No. 176)
Symmetry-distinct sites (fractional):
Hf 0.1130 0.4627 0.2500 [6 per cell]
Zn 0.0448 0.2208 0.7500 [6 per cell]

First-principles (PBE-GGA) data for a relaxed RbZr2Ir crystal, as listed in the Alexandria database.

- Uncorrected energy: -5.86 eV per atom
- Crystal system: tetragonal
- DOS(E_F): 6.047 states/eV/f.u.
- Size of the total moment: 0.00 μB/atom
- Polymorph energy (0 for the lowest one): 277 meV per atom

Lattice parameters (Å, degrees): 6.023 6.023 16.822 90.00 90.00 90.00
Space group I4_1/amd (No. 141, origin choice 2)
Symmetry-distinct sites (fractional):
Rb 0.000 0.250 0.375 [4 per cell]
Zr 0.000 0.000 0.000 [8 per cell]
Ir 0.000 0.250 0.875 [4 per cell]

First-principles (PBE-GGA) data for a relaxed SrCa2Pr crystal, as listed in the Alexandria database.

- Uncorrected energy: -2.52 eV per atom
- Crystal system: tetragonal
- DOS(E_F): 5.476 states/eV/f.u.
- Size of the total moment: 0.00 μB/atom
- Polymorph energy (0 for the lowest one): 30 meV per atom

Lattice parameters (Å, degrees): 6.238 6.238 4.318 90.00 90.00 90.00
Space group P4/mmm (No. 123)
Symmetry-distinct sites (fractional):
Sr 0.000 0.000 0.000 [1 per cell]
Ca 0.000 0.500 0.500 [2 per cell]
Pr 0.500 0.500 0.000 [1 per cell]

First-principles (PBE-GGA) data for a relaxed Sc2NbAl2Ru5 crystal, as listed in the Alexandria database.

- Uncorrected energy: -8.11 eV per atom
- Crystal system: tetragonal
- DOS(E_F): 8.249 states/eV/f.u.
- Size of the total moment: 0.00 μB/atom

Lattice parameters (Å, degrees): 9.892 9.892 3.281 90.00 90.00 90.00
Space group P4/mbm (No. 127)
Symmetry-distinct sites (fractional):
Sc 0.170 0.330 0.000 [4 per cell]
Nb 0.000 0.000 0.000 [2 per cell]
Al 0.128 0.628 0.000 [4 per cell]
Ru 0.000 0.500 0.500 [2 per cell]
Ru 0.069 0.801 0.500 [8 per cell]

First-principles (PBE-GGA) data for a relaxed Dy2Ho8In crystal, as listed in the Alexandria database.

- Uncorrected energy: -4.47 eV per atom
- Crystal system: monoclinic
- DOS(E_F): 15.103 states/eV/f.u.
- Size of the total moment: 0.00 μB/atom
- Polymorph energy (0 for the lowest one): 0 meV per atom

Lattice parameters (Å, degrees): 19.246 5.505 6.390 90.00 94.96 90.00
Space group C2/m (No. 12)
Symmetry-distinct sites (fractional):
Dy 0.243 0.000 0.335 [4 per cell]
Ho 0.045 0.000 0.264 [4 per cell]
Ho 0.079 0.500 0.596 [4 per cell]
Ho 0.153 0.000 0.806 [4 per cell]
Ho 0.162 0.500 0.122 [4 per cell]
In 0.000 0.500 0.000 [2 per cell]

First-principles (PBE-GGA) data for a relaxed ThZnHg3 crystal, as listed in the Alexandria database.

- Uncorrected energy: -1.98 eV per atom
- Crystal system: triclinic
- DOS(E_F): 3.509 states/eV/f.u.
- Size of the total moment: 0.00 μB/atom

Lattice parameters (Å, degrees): 6.373 6.377 7.575 69.72 69.40 62.21
Space group P1 (No. 1)
Symmetry-distinct sites (fractional):
Th 0.000 0.000 0.000 [1 per cell]
Th 0.379 0.381 0.760 [1 per cell]
Zn 0.242 0.639 0.354 [1 per cell]
Zn 0.634 0.243 0.354 [1 per cell]
Hg 0.425 0.916 0.597 [1 per cell]
Hg 0.461 0.990 0.171 [1 per cell]
Hg 0.572 0.573 0.989 [1 per cell]
Hg 0.916 0.919 0.633 [1 per cell]
Hg 0.919 0.423 0.598 [1 per cell]
Hg 0.985 0.464 0.172 [1 per cell]

First-principles (PBE-GGA) data for a relaxed Co2AsAu crystal, as listed in the Alexandria database.

- Uncorrected energy: -5.39 eV per atom
- Crystal system: monoclinic
- DOS(E_F): 3.463 states/eV/f.u.
- Size of the total moment: 0.30 μB/atom

Lattice parameters (Å, degrees): 7.125 2.868 5.739 90.00 100.99 90.00
Space group C2/m (No. 12)
Symmetry-distinct sites (fractional):
Co 0.243 0.000 0.194 [4 per cell]
As 0.000 0.500 0.000 [2 per cell]
Au 0.000 0.000 0.500 [2 per cell]

First-principles (PBE-GGA) data for a relaxed PuAgPO6 crystal, as listed in the Alexandria database.

- Uncorrected energy: -7.49 eV per atom
- Crystal system: trigonal
- Formation energy (no corrections): -1.678 eV per atom
- DOS(E_F): 5.217 states/eV/f.u.
- Size of the total moment: 0.22 μB/atom

Lattice parameters (Å, degrees): 5.1902 5.1902 5.0723 90.00 90.00 120.00
Space group P312 (No. 149)
Symmetry-distinct sites (fractional):
Pu 0.0000 0.0000 0.0000 [1 per cell]
Ag 0.3333 0.6667 0.5000 [1 per cell]
P 0.6667 0.3333 0.0000 [1 per cell]
O 0.3859 0.0657 0.8052 [6 per cell]

First-principles (PBE-GGA) data for a relaxed ScAsIrBr2 crystal, as listed in the Alexandria database.

- Uncorrected energy: -4.13 eV per atom
- Crystal system: tetragonal
- Formation energy (no corrections): 0.507 eV per atom
- DOS(E_F): 10.334 states/eV/f.u.
- Size of the total moment: 0.35 μB/atom
- Polymorph energy (0 for the lowest one): 289 meV per atom

Lattice parameters (Å, degrees): 4.985 4.985 5.657 90.00 90.00 90.00
Space group P4/mmm (No. 123)
Symmetry-distinct sites (fractional):
Sc 0.000 0.000 0.000 [1 per cell]
As 0.000 0.000 0.500 [1 per cell]
Ir 0.500 0.500 0.500 [1 per cell]
Br 0.000 0.500 0.000 [2 per cell]

First-principles (PBE-GGA) data for a relaxed Rb4PmSm3Te8 crystal, as listed in the Alexandria database.

- Uncorrected energy: -4.40 eV per atom
- Crystal system: trigonal
- Formation energy (no corrections): -1.404 eV per atom
- Size of the total moment: 0.00 μB/atom

Lattice parameters (Å, degrees): 9.2166 9.2166 25.7025 90.00 90.00 120.00
Space group R-3m (No. 166, hexagonal axes)
Symmetry-distinct sites (fractional):
Rb 0.0000 0.0000 0.0000 [3 per cell]
Rb 0.0000 0.5000 0.0000 [9 per cell]
Pm 0.0000 0.0000 0.5000 [3 per cell]
Sm 0.0000 0.5000 0.5000 [9 per cell]
Te 0.0000 0.0000 0.2343 [6 per cell]
Te 0.0010 0.5005 0.7656 [18 per cell]